DFT (GGA+U) results for a geometry-optimized TmCrCdF6 structure.

Cell and atoms, written as POSCAR:
```
TmCrCdF6
1.0
5.822 0.000 0.000
-2.911 5.042 0.000
0.000 0.000 9.696
Tm Cr Cd F
2 2 2 12
Cartesian
0.000 3.361 2.424
2.911 1.681 7.272
2.911 1.681 2.424
0.000 3.361 7.272
0.000 0.000 0.000
0.000 0.000 4.848
1.831 3.399 1.273
-0.883 1.757 1.273
1.963 0.114 6.121
3.794 3.285 8.423
0.883 1.757 3.575
-1.831 3.399 3.575
3.859 0.114 8.423
0.948 4.928 3.575
4.742 1.643 6.121
-0.948 4.928 1.273
2.028 3.285 6.121
1.080 1.643 8.423
```

Results
Total DFT energy (no corrections) = -98.9 eV/cell